Entry 1:
Crystalline BiIrPb2N at its relaxed geometry. Source: Alexandria via LeMat-Bulk, functional GGA-PBE.

a b c (Å): 5.888 5.888 3.676
angles (deg): 90.00 90.00 90.00
Atoms (fractional coordinates):
1 Pb 0.000 0.500 0.000
2 Pb 0.500 0.000 0.000
3 Ir 0.000 0.000 0.000
4 N 0.000 0.000 0.500
5 Bi 0.500 0.500 0.500

Summary:
Total magnetization = 0.00 μB per formula unit
V = 127 Å³ per cell
DFT total energy = -0.202 Ha/atom

***

Entry 2:
Crystalline BiIrRuN2 at its relaxed geometry. Source: Alexandria via LeMat-Bulk, functional GGA-PBE.

a b c (Å): 4.168 5.367 4.168
angles (deg): 90.00 90.00 90.00
Atoms (fractional coordinates):
1 Bi 0.000 0.000 0.000
2 N 0.500 0.000 0.000
3 N 0.000 0.000 0.500
4 Ru 0.000 0.500 0.000
5 Ir 0.500 0.500 0.500

Summary:
Total magnetization = 4.46 μB per formula unit
V = 93 Å³ per cell
DFT total energy = -0.185 Ha/atom

***

Entry 3:
Crystalline BiIrS2N at its relaxed geometry. Source: Alexandria via LeMat-Bulk, functional GGA-PBE.

a b c (Å): 5.187 5.187 4.247
angles (deg): 90.00 90.00 90.00
Atoms (fractional coordinates):
1 Bi 0.000 0.000 0.000
2 S 0.500 0.000 0.000
3 S 0.000 0.500 0.000
4 Ir 0.500 0.500 0.500
5 N 0.000 0.000 0.500

Summary:
Total magnetization = 3.96 μB per formula unit
V = 114 Å³ per cell
Distance to the lowest polymorph of the same formula = 1713.6 meV/atom